Computed, not measured: a relaxed Tb3CeBi2 crystal at the PBE level of DFT.

Results
The value obtained for the formation energy is -0.46 eV per atom. The spin magnetization comes out at 1.5 μB per formula unit.

Cell: 4.3758 10.8352 10.0730 Å, 125.06 90.00 101.65°
Closest atoms and distances in Å follow each position.
Sites, in units of the cell vectors:
Bi 0.4896 0.9792 0.8209  4 Tb 3.14-3.29, 4 Ce 3.31-3.42, 1 Bi 3.37
Tb 0.6402 0.2805 0.8060  4 Bi 3.27-3.36
Tb 0.3116 0.6231 0.5130  3 Bi 3.19-3.29, 4 Tb 3.30-3.37
Tb 0.0573 0.1147 0.4452  3 Bi 3.14-3.44, 3 Tb 3.21-3.37
Tb 0.9427 0.8853 0.5548  3 Bi 3.14-3.44, 3 Tb 3.21-3.37
Ce 0.8896 0.7791 0.8949  6 Bi 3.31-3.42
Tb 0.3598 0.7195 0.1940  4 Bi 3.27-3.36
Ce 0.1104 0.2209 0.1051  6 Bi 3.31-3.42
Bi 0.2483 0.4966 0.7829  6 Tb 3.27-3.44, 2 Ce 3.33
Bi 0.7517 0.5034 0.2171  6 Tb 3.27-3.44, 2 Ce 3.33
Bi 0.5104 0.0208 0.1791  4 Tb 3.14-3.29, 4 Ce 3.31-3.42, 1 Bi 3.37
Tb 0.6884 0.3769 0.4870  3 Bi 3.19-3.29, 4 Tb 3.30-3.37

=====

Computed, not measured: a relaxed AcPm3Sm6Dy2 crystal at the PBE level of DFT.

Results
The value obtained for the formation energy is 0.02 eV per atom. The spin magnetization comes out at 0.0 μB per formula unit.

Cell: 6.3154 6.3154 12.1255 Å, 94.99 94.99 119.96°
Closest atoms and distances in Å follow each position.
Sites, in units of the cell vectors:
Sm 0.7481 0.7481 0.2518  3 Pm 3.63-3.64, 6 Sm 3.63-3.68, 2 Dy 3.67, 1 Ac 3.68
Sm 0.4208 0.0844 0.2515  3 Pm 3.62-3.65, 6 Sm 3.63-3.68, 2 Dy 3.66, 1 Ac 3.68
Sm 0.0844 0.4208 0.2515  3 Pm 3.62-3.65, 6 Sm 3.63-3.68, 2 Dy 3.66, 1 Ac 3.68
Dy 0.3334 0.6666 0.0000  3 Dy 3.64-3.65, 3 Ac 3.65, 6 Sm 3.66-3.67
Pm 0.5000 0.5000 0.5000  6 Sm 3.63-3.64, 6 Pm 3.64-3.65
Sm 0.9156 0.5792 0.7485  3 Pm 3.62-3.65, 6 Sm 3.63-3.68, 2 Dy 3.66, 1 Ac 3.68
Sm 0.5792 0.9156 0.7485  3 Pm 3.62-3.65, 6 Sm 3.63-3.68, 2 Dy 3.66, 1 Ac 3.68
Pm 0.8328 0.1672 0.5000  6 Sm 3.62-3.65, 6 Pm 3.64-3.66
Dy 0.6666 0.3334 0.0000  3 Dy 3.64-3.65, 3 Ac 3.65, 6 Sm 3.66-3.67
Sm 0.2519 0.2519 0.7482  3 Pm 3.63-3.64, 6 Sm 3.63-3.68, 2 Dy 3.67, 1 Ac 3.68
Ac 0.0000 0.0000 0.0000  6 Dy 3.65, 6 Sm 3.68
Pm 0.1672 0.8328 0.5000  6 Sm 3.62-3.65, 6 Pm 3.64-3.66